Record 1
CoH12C2N2Cl4 | PBE | relaxed

E_tot	-399.63	eV/cell
SG	P2_1/c, No. 14

POSCAR file:
```
CoH12C2N2Cl4
1.0
7.8909 0.0000 0.0000
0.0000 13.5520 0.0000
-0.3120 0.0000 10.9313
Co H C N Cl
4 48 8 8 16
Cartesian
1.5853 0.7804 2.8996
1.4292 5.9956 8.3653
6.1496 7.5564 2.5661
5.9935 12.7716 8.0317
0.2786 8.7750 5.3162
0.1226 11.5530 10.7818
1.1113 10.0854 0.2816
0.9552 10.2426 5.7473
1.2235 2.5083 7.5074
1.3795 4.2677 2.0417
1.2610 8.8940 6.6851
1.4170 11.4340 1.2194
1.2954 0.2018 6.6536
1.4514 6.5742 1.1880
1.7435 1.3361 8.7579
1.8995 5.4399 3.2922
2.1790 9.2057 3.8487
2.0230 11.1224 9.3144
2.4186 1.1819 5.8381
2.5746 5.5941 0.3725
2.5165 7.8215 4.9450
2.3605 12.5066 10.4106
2.9169 0.0821 6.9907
3.0729 6.6939 1.5250
2.9602 2.3485 7.9207
3.1162 4.4275 2.4550
3.2110 9.4351 5.2972
3.0550 10.8929 10.7629
4.5238 2.6591 0.1685
4.3678 4.1169 5.6341
4.4626 9.1245 8.4763
4.6186 11.2035 3.0107
4.5059 6.8581 9.4063
4.6619 13.4699 3.9407
5.2183 1.0454 0.5207
5.0623 5.7306 5.9864
5.0042 7.9579 10.5589
5.1602 12.3701 5.0932
5.5558 2.4297 1.6170
5.3998 4.3464 7.0827
5.6793 8.1121 7.6391
5.8353 12.2159 2.1735
6.1274 6.9778 9.7434
6.2834 13.3502 4.2777
6.1618 2.1180 9.7119
6.3178 4.6580 4.2463
6.1993 9.2843 8.8896
6.3553 11.0437 3.4240
6.6236 3.3094 5.1841
6.4676 3.4666 10.6498
7.4563 1.9990 0.1495
7.3002 4.7770 5.6152
2.0127 1.8134 7.8096
2.1687 4.9627 2.3439
2.3484 8.9016 4.8855
2.1924 11.4265 10.3512
5.3864 2.1256 0.5802
5.2304 4.6504 6.0458
5.4101 8.5894 8.5874
5.5661 11.7387 3.1218
1.1428 9.2264 5.6975
1.2989 11.1017 0.2319
2.1652 0.7683 6.7607
2.3212 6.0077 1.2950
5.2576 7.5443 9.6364
5.4136 12.7837 4.1707
6.2800 2.4503 10.6995
6.4360 4.3257 5.2338
0.0993 8.2925 1.4734
-0.0567 12.0355 6.9391
1.5352 1.2929 0.7128
1.3792 5.4831 6.1785
1.5964 8.2280 8.6898
1.7524 12.1000 3.2242
3.3879 1.7411 3.9093
3.2318 5.0349 9.3750
4.3470 8.5171 1.5564
4.1910 11.8109 7.0221
5.8264 1.4520 7.7072
5.9824 5.3240 2.2415
6.1996 8.0689 4.7529
6.0436 12.2591 10.2185
7.6356 1.5165 3.9923
7.4795 5.2595 9.4580
```


Record 2
K2SnAsPb | PBE | relaxed

ΔH_f (0 K)	1.693	eV per formula unit
SG	P4/mmm, No. 123

POSCAR file:
```
K2SnAsPb
1.0
6.8833 0.0000 0.0000
0.0000 6.8833 0.0000
0.0000 0.0000 5.0435
K Sn As Pb
2 1 1 1
Cartesian
0.0000 3.4417 0.0000
3.4417 0.0000 0.0000
0.0000 0.0000 0.0000
0.0000 0.0000 2.5217
3.4417 3.4417 2.5217
```


Record 3
La2Th4Sb3N2 | PBE | relaxed

SG	I4/mmm, No. 139
uncorrected formation energy	-1076	meV per atom

POSCAR file:
```
La2Th4Sb3N2
1.0
-2.4015 2.4015 13.3084
2.4015 -2.4015 13.3084
2.4015 2.4015 -13.3084
La Th Sb N
2 4 3 2
Cartesian
0.0000 0.0000 5.2413
0.0000 0.0000 21.3755
2.4015 0.0000 2.2046
2.4015 0.0000 11.1038
0.0000 2.4015 2.2046
0.0000 2.4015 11.1038
0.0000 0.0000 8.6617
0.0000 0.0000 13.3084
0.0000 0.0000 17.9551
0.0000 0.0000 2.7297
0.0000 0.0000 23.8871
```


Record 4
Zr2TcBPt | PBE | relaxed

ΔH_f (0 K)	7.286	eV per formula unit
SG	P4/mmm, No. 123

POSCAR file:
```
Zr2TcBPt
1.0
5.0471 0.0000 0.0000
0.0000 5.0471 0.0000
0.0000 0.0000 4.7033
Zr Tc B Pt
2 1 1 1
Cartesian
0.0000 2.5235 0.0000
2.5235 0.0000 0.0000
0.0000 0.0000 2.3516
2.5235 2.5235 2.3516
0.0000 0.0000 0.0000
```


Record 5
PuCrH3 | PBE | relaxed

E_tot	-68.81	eV/cell
SG	Cc, No. 9

POSCAR file:
```
PuCrH3
1.0
2.4398 -3.5573 0.0000
2.4398 3.5573 0.0000
-0.2510 0.0000 5.5756
Pu Cr H
2 2 6
Cartesian
2.3143 2.1605 2.7878
2.4398 -2.1605 0.0000
2.4033 0.2380 1.5435
2.2778 -0.2380 4.3313
0.7886 0.4602 3.7953
0.9141 -0.4602 1.0075
2.2433 1.0993 5.5337
2.3688 -1.0993 2.7459
4.0264 0.5860 1.9192
3.9009 -0.5860 4.7070
```


Record 6
TaAu2Se | PBE | relaxed

SG	I4/mmm, No. 139
uncorrected formation energy	304	meV per atom

POSCAR file:
```
TaAu2Se
1.0
-1.9298 1.9298 4.9629
1.9298 -1.9298 4.9629
1.9298 1.9298 -4.9629
Ta Au Se
1 2 1
Cartesian
0.0000 0.0000 0.0000
1.9298 0.0000 2.4815
0.0000 1.9298 2.4815
0.0000 0.0000 4.9629
```


Record 7
CrSb2W | PBE | relaxed

SG	R3m, No. 160
uncorrected formation energy	386	meV per atom

POSCAR file:
```
CrSb2W
1.0
1.5615 0.9015 10.5889
-1.5615 0.9015 10.5889
0.0000 -1.8031 10.5889
Cr Sb W
1 2 1
Cartesian
0.0000 0.0000 0.0000
0.0000 0.0000 17.1089
0.0000 0.0000 23.2923
0.0000 0.0000 8.8140
```


Record 8
Li5GeN3 | PBE | relaxed

SG	P1, No. 1
uncorrected formation energy	-488	meV per atom

POSCAR file:
```
Li5GeN3
1.0
8.3144 0.0000 0.0000
-2.7563 7.9125 0.0000
-2.7656 -3.9397 20.5738
Li Ge N
80 16 48
Cartesian
0.0000 0.0000 0.0000
-4.3189 3.5504 15.4066
-2.7388 5.1091 5.0096
-1.2912 -1.7709 10.1928
-2.6407 2.4470 10.2631
-3.0085 -0.8464 18.6222
-3.0425 2.0486 13.8902
-2.7398 5.1848 8.4082
-4.1500 3.2210 18.8999
-1.2798 -1.8974 13.6796
-1.4545 1.4489 8.7161
0.0452 0.4555 3.1307
-1.3173 4.4326 3.2935
-1.4534 3.9812 6.8269
-0.2426 0.4962 7.0365
-1.5263 1.2163 12.2071
0.0030 3.1571 1.8734
-2.6995 5.3307 11.8973
-1.3096 -1.5444 17.2347
-1.1508 7.2071 1.6697
-1.4127 4.3844 9.9579
-2.6594 2.1783 20.4800
-0.0009 -2.4961 15.6336
-1.2427 1.3446 15.1650
-0.0488 -2.8648 18.6160
-0.0518 -0.0205 13.7618
-1.3656 1.0773 18.7027
-0.0704 3.2687 8.4998
1.3463 -0.5895 8.3552
0.1085 6.1811 3.4567
1.7284 2.3193 3.0874
-0.2540 3.2871 11.6941
-0.1972 5.9140 6.8443
1.3133 5.1009 1.8615
1.4166 2.0815 7.0681
0.0978 0.4515 16.8609
1.5053 -0.7864 12.2006
3.0186 1.2167 1.5007
-1.1939 4.3142 17.1700
-1.3818 4.0332 20.1802
2.5987 4.4752 0.0357
2.7391 1.5145 5.0866
1.4456 5.1792 5.2091
0.0645 3.2392 15.6222
1.4339 2.6022 10.2478
1.6273 -0.7337 15.4045
3.9242 0.3349 3.3946
0.0724 3.0145 18.6425
1.4328 5.1705 8.2876
2.9151 -1.8469 13.7426
2.7957 1.3378 8.8755
2.8967 4.3563 3.5218
2.6986 1.1532 11.7196
2.7501 3.9449 6.8079
4.0283 3.5188 1.6044
1.4257 5.1122 11.8866
2.8807 -1.8192 17.1758
1.6200 2.3877 16.9773
5.3279 -0.7314 4.8768
5.3357 2.0254 0.0860
1.4372 2.1288 20.4691
2.7839 4.4468 10.0361
4.1582 -2.7255 15.6664
4.2480 3.2256 5.2185
2.9349 1.2841 15.3052
4.0557 0.1422 13.4228
4.5252 0.5103 10.4913
4.0654 -2.9197 18.9610
2.5963 4.4821 13.7895
2.7703 1.4261 18.7338
5.5727 -0.7167 8.7463
4.2628 3.2463 8.5716
4.2434 6.3398 3.5345
3.9459 0.2814 17.0791
5.5545 2.1840 6.9482
5.4634 5.4818 1.8277
5.6825 -0.8893 11.9914
2.8062 4.3876 17.2637
7.0896 1.2866 1.4011
6.8526 1.0332 5.0761
-2.7992 -0.6850 15.3042
-2.8065 2.2650 17.0418
-1.4793 -1.7626 20.4694
1.2204 -0.5971 5.1127
0.0858 3.1493 5.0114
0.0687 0.3807 10.3065
-1.5314 4.1402 13.7855
2.8628 -1.5852 10.2052
1.2504 2.2013 13.5830
1.2488 -0.6404 18.8186
3.9799 0.2291 6.9054
2.7268 7.1872 1.6004
5.5684 2.2596 3.2474
3.9831 6.1692 6.7464
4.0095 3.3290 11.9657
6.8000 4.1752 0.0209
-1.9738 5.9651 0.0458
-1.9214 3.0739 4.8537
-2.1050 -2.4293 15.4829
-1.7947 0.2504 10.3517
-2.1521 0.1562 13.7633
-2.0833 3.2867 8.4998
-2.0598 -2.6475 18.9698
-1.9672 6.4120 3.5545
-2.3177 3.2362 12.2377
-2.3061 6.4367 6.6645
-2.1784 0.4018 16.9013
0.8703 1.3177 1.5050
-2.3115 0.0639 20.5423
0.6328 1.2437 5.1325
-2.1372 3.2595 15.3903
0.8723 -1.4554 10.2359
-2.1036 3.0455 18.5869
0.7230 4.0945 3.5395
0.6706 1.2831 8.7853
0.8335 -1.9589 13.7483
0.5917 3.9841 6.6074
0.6489 1.2710 11.9654
0.8573 7.1513 1.6841
0.8106 -1.5577 17.2687
3.1994 -0.6385 5.3092
0.4983 -1.5328 20.4192
0.6124 4.5246 10.0985
0.8254 1.2952 15.1234
0.4444 3.9697 13.5580
3.4298 -0.7594 8.4551
0.7183 1.1187 18.8095
3.7225 2.3593 3.3744
3.5056 -0.7642 11.7327
3.5051 2.0143 6.9020
3.4000 5.4413 1.7965
0.7793 4.1952 17.1891
6.1526 0.1162 0.0837
3.5080 5.2841 5.2031
3.6376 -0.7155 15.3305
3.5667 2.4150 10.4055
3.1958 2.4008 13.4969
3.2638 -0.6907 19.0831
6.1384 0.4070 3.2144
3.5268 5.3080 8.3191
5.9460 0.0775 6.7345
6.2075 3.2651 1.6984
3.5221 5.1071 11.9388
3.6551 2.3069 17.0318
```


Record 9
MgCrRe2 | PBE | relaxed

ΔH_f (0 K)	1.744	eV per formula unit
SG	Cmmm, No. 65

POSCAR file:
```
MgCrRe2
1.0
2.6336 -4.2897 0.0000
2.6336 4.2897 0.0000
0.0000 0.0000 2.6303
Mg Cr Re
1 1 2
Cartesian
0.0000 0.0000 0.0000
2.6336 0.0000 0.0000
1.3168 2.1448 1.3152
1.3168 -2.1448 1.3152
```


Record 10
NpV2Ni | PBE | relaxed

ΔH_f (0 K)	1.353	eV per formula unit
SG	Fm-3m, No. 225

POSCAR file:
```
NpV2Ni
1.0
0.0000 3.0743 3.0743
3.0743 0.0000 3.0743
3.0743 3.0743 0.0000
Np V Ni
1 2 1
Cartesian
0.0000 0.0000 0.0000
1.5372 1.5372 1.5372
4.6115 4.6115 4.6115
3.0743 3.0743 3.0743
```


Record 11
TaSiCl2 | PBE | relaxed

SG	Amm2, No. 38
uncorrected formation energy	-482	meV per atom

POSCAR file:
```
TaSiCl2
1.0
3.4188 0.0000 0.0000
0.0000 1.8626 7.7176
0.0000 -1.8626 7.7176
Ta Si Cl
1 1 2
Cartesian
0.0000 0.0000 0.0000
1.7094 0.0000 8.1000
0.0000 0.0000 2.4138
1.7094 0.0000 13.4719
```


Record 12
AcIn2Pd3 | PBE | relaxed

ΔH_f (0 K)	-3.824	eV per formula unit
SG	Cmcm, No. 63

POSCAR file:
```
AcIn2Pd3
1.0
5.4295 -4.1336 0.0000
5.4295 4.1336 0.0000
0.0000 0.0000 5.9858
Ac In Pd
2 4 6
Cartesian
5.4295 2.6813 4.4894
5.4295 -2.6813 1.4965
3.1074 0.0000 0.0000
3.1074 0.0000 2.9929
7.7515 0.0000 0.0000
7.7515 0.0000 2.9929
3.9031 2.5080 1.4965
6.9558 2.5080 1.4965
5.4295 0.2660 1.4965
5.4295 -0.2660 4.4894
3.9031 -2.5080 4.4894
6.9558 -2.5080 4.4894
```


Record 13
Sc3Al3Ni2 | PBE | relaxed

ΔH_f (0 K)	-4.230	eV per formula unit
SG	Pnma, No. 62

POSCAR file:
```
Sc3Al3Ni2
1.0
7.1793 0.0000 0.0000
0.0000 14.5569 0.0000
0.0000 0.0000 5.3546
Sc Al Ni
12 12 8
Cartesian
0.2251 1.6033 0.5798
0.2251 5.6752 0.5798
1.1751 3.6392 3.4455
2.4146 10.9177 0.7681
3.3645 8.8818 3.2572
3.3645 12.9536 3.2572
3.8148 1.6033 2.0975
3.8148 5.6752 2.0975
4.7647 3.6392 4.5865
6.0042 10.9177 1.9092
6.9542 8.8818 4.7748
6.9542 12.9536 4.7748
1.2443 0.5014 3.2189
1.2443 6.7770 3.2189
1.2835 10.9177 3.4328
2.3061 3.6392 0.7555
2.3453 7.7799 0.5416
2.3453 14.0555 0.5416
4.8340 0.5014 4.8131
4.8340 6.7770 4.8131
4.8732 10.9177 4.5992
5.8958 3.6392 1.9219
5.9350 7.7799 2.1357
5.9350 14.0555 2.1357
0.8701 8.9369 2.0548
0.8701 12.8985 2.0548
2.7196 1.6585 4.7321
2.7196 5.6200 4.7321
4.4597 8.9369 0.6226
4.4597 12.8985 0.6226
6.3092 1.6585 3.2999
6.3092 5.6200 3.2999
```


no.,V (Å³/cell)
1,1169.0
2,239.0
3,307.0
4,119.8
5,96.8
6,73.9
7,89.4
8,1353.5
9,59.4
10,58.1
11,98.3
12,268.7
13,559.6